# 1
The following is a PBE calculation of a relaxed CsMnRh2 crystal, from Alexandria via LeMat-Bulk.

The formation energy comes out at 1016 meV/atom.

The space group is Fm-3m (No. 225) and the conventional cell measures 6.771, 6.771 and 6.771 Å, with angles of 90.00, 90.00 and 90.00 degrees. The distinct sites, in fractional coordinates, are Cs at (0.000, 0.000, 0.000), Mn at (0.000, 0.000, 0.500) and Rh at (0.250, 0.250, 0.250).

***

# 2
The following is a PBE calculation of a relaxed Cs3MnRh crystal, from Alexandria via LeMat-Bulk.

The formation energy comes out at 920 meV/atom.

The space group is Pm-3m (No. 221) and the conventional cell measures 6.269, 6.269 and 6.269 Å, with angles of 90.00, 90.00 and 90.00 degrees. The distinct sites, in fractional coordinates, are Cs at (0.000, 0.000, 0.500), Mn at (0.500, 0.500, 0.500) and Rh at (0.000, 0.000, 0.000).

***

# 3
The following is a PBE calculation of a relaxed Cs2ScMnRh crystal, from Alexandria via LeMat-Bulk.

The formation energy comes out at 1643 meV/atom.

The space group is P4/mmm (No. 123) and the conventional cell measures 6.576, 6.576 and 4.164 Å, with angles of 90.00, 90.00 and 90.00 degrees. The distinct sites, in fractional coordinates, are Cs at (0.000, 0.500, 0.000), Sc at (0.000, 0.000, 0.000), Mn at (0.000, 0.000, 0.500) and Rh at (0.500, 0.500, 0.500).

***

# 4
The following is a PBE calculation of a relaxed Cs2MnRhSe4 crystal, from Alexandria via LeMat-Bulk.

Its formation energy from raw total energies is -717 meV/atom.

The space group is Fddd (No. 70, origin choice 2) and the conventional cell measures 5.620, 15.070 and 24.813 Å, with angles of 90.00, 90.00 and 90.00 degrees. The distinct sites, in fractional coordinates, are Cs at (0.125, 0.125, 0.304), Mn at (0.125, 0.125, 0.625), Rh at (0.125, 0.125, 0.125) and Se at (0.111, 0.283, 0.822).